Computed, not measured: crystalline LiMgP2 at its relaxed geometry at the PBE level of DFT.

Geometry as POSCAR:
```
LiMgP2
1.0
3.940 -1.647 0.000
3.940 1.647 0.000
-1.386 0.000 4.916
Li Mg P
1 1 2
Direct
0.000 0.000 0.000
0.500 0.500 0.500
0.251 0.251 0.821
0.749 0.749 0.179
```

Final energy in eV per atom: -3.92
E_form in eV per atom: -0.339
Density of states at the Fermi level in states/eV/f.u.: 0.5
Symmetry: C2/m (12)
M_tot in μB/f.u.: 0.00